Density functional theory data (GGA-PBE) for a relaxed LiNdSc2S4 crystal.

Summary:
Total energy, eV per cell: -50.66

a = 3.7863 Å, b = 6.5485 Å, c = 6.6994 Å
α = 108.92°, β = 90.00°, γ = 90.00°
Closest atoms and distances in Å follow each position.
Positions (direct):
Li1 0.5000 0.5000 0.0000  6 S 2.72-2.74
Nd1 0.0000 0.0000 0.0000  6 S 2.80-2.81
Sc1 0.5000 0.0000 0.5000  6 S 2.66-2.68
Sc2 0.0000 0.5000 0.5000  6 S 2.59-2.60
S1 0.5000 0.2681 0.2705  3 Sc 2.60-2.68, 1 Li 2.72, 2 Nd 2.81
S2 0.5000 0.7319 0.7295  3 Sc 2.60-2.68, 1 Li 2.72, 2 Nd 2.81
S3 0.0000 0.2528 0.7336  3 Sc 2.59-2.66, 2 Li 2.74, 1 Nd 2.80
S4 0.0000 0.7472 0.2664  3 Sc 2.59-2.66, 2 Li 2.74, 1 Nd 2.80